# PBE Cs5Rb4Pd, optimized geometry
# **Formation enthalpy at 0 K**: 20 kJ/mol of formula units
# **Crystal system**: tetragonal
data_Cs5Rb4Pd
_symmetry_space_group_name_H-M 'I 4/m m m'
_symmetry_Int_Tables_number 139
_symmetry_space_group_name_Hall '-I 4 2'
_cell_length_a 15.663
_cell_length_b 15.663
_cell_length_c 7.166
_cell_angle_alpha 90.00
_cell_angle_beta 90.00
_cell_angle_gamma 90.00
loop_
_atom_site_label
_atom_site_fract_x
_atom_site_fract_y
_atom_site_fract_z
Cs1 0.000 0.000 0.000
Cs2 0.156 0.156 0.500
Rb1 0.000 0.343 0.000
Pd1 0.000 0.000 0.500